Density functional theory data (PBE) for a geometry-optimized Ce4CdSi structure.

Cell lengths 5.1117, 5.9560, 5.9560 Å; angles 98.42, 64.98, 64.98 degrees
Site moments in Bohr magnetons follow the coordinates.
Positions (direct):
Ce 0.7342 0.5774 0.9220  0.25
Ce 0.7342 0.9220 0.5774  0.25
Ce 0.2657 0.4226 0.0780  0.25
Ce 0.2657 0.0780 0.4226  0.25
Cd 0.0000 0.0000 0.0000  0.00
Si 0.5000 0.5000 0.5000  0.00

Calculated values
**SG**: C2/m
**Uncorrected formation energy**: -0.14 eV per atom
**Crystal system**: monoclinic


Density functional theory data (PBE) for a geometry-optimized SrCeCdSi structure.

Cell lengths 5.3730, 5.3730, 5.3730 Å; angles 60.00, 60.00, 60.00 degrees
Site moments in Bohr magnetons follow the coordinates.
Positions (direct):
Sr 0.5000 0.5000 0.5000  0.02
Si 0.7500 0.7500 0.7500  -0.01
Ce 0.0000 0.0000 0.0000  0.92
Cd 0.2500 0.2500 0.2500  0.03

Calculated values
**SG**: F-43m
**Uncorrected formation energy**: -0.22 eV per atom
**Crystal system**: cubic


Density functional theory data (PBE) for a geometry-optimized TbCeCdSi structure.

Cell lengths 5.1747, 5.1747, 5.1747 Å; angles 60.00, 60.00, 60.00 degrees
Site moments in Bohr magnetons follow the coordinates.
Positions (direct):
Si 0.7500 0.7500 0.7500  0.00
Tb 0.0000 0.0000 0.0000  0.06
Ce 0.5000 0.5000 0.5000  0.73
Cd 0.2500 0.2500 0.2500  0.01

Calculated values
**SG**: F-43m
**Uncorrected formation energy**: -0.33 eV per atom
**Crystal system**: cubic


Density functional theory data (PBE) for a geometry-optimized CeTmCdSi structure.

Cell lengths 5.1309, 5.1309, 5.1309 Å; angles 60.00, 60.00, 60.00 degrees
Site moments in Bohr magnetons follow the coordinates.
Positions (direct):
Si 0.2500 0.2500 0.2500  0.01
Tm 0.5000 0.5000 0.5000  0.06
Ce 0.0000 0.0000 0.0000  0.70
Cd 0.7500 0.7500 0.7500  0.01

Calculated values
**SG**: F-43m
**Uncorrected formation energy**: -0.32 eV per atom
**Crystal system**: cubic


Density functional theory data (PBE) for a geometry-optimized CeSmCd structure.

Cell lengths 3.1165, 5.4076, 5.4076 Å; angles 120.00, 90.00, 90.00 degrees
Site moments in Bohr magnetons follow the coordinates.
Positions (direct):
Ce 0.1659 0.0000 0.0000  0.77
Sm 0.1673 0.3333 0.6667  -0.01
Cd 0.6667 0.6667 0.3333  -0.01

Calculated values
**SG**: P-6m2
**Crystal system**: hexagonal
**Distance to the lowest polymorph of the same formula**: 145.2 meV/atom
**Calculated formation energy**: 0.01 eV/atom


Density functional theory data (PBE) for a geometry-optimized CeSmCd4 structure.

Cell lengths 5.9698, 5.9698, 5.9698 Å; angles 60.00, 60.00, 60.00 degrees
Site moments in Bohr magnetons follow the coordinates.
Positions (direct):
Ce 0.2500 0.2500 0.2500  0.79
Sm 0.0000 0.0000 0.0000  0.05
Cd 0.6251 0.6251 0.1247  0.00
Cd 0.6251 0.1247 0.6251  0.00
Cd 0.6251 0.6251 0.6251  0.00
Cd 0.1247 0.6251 0.6251  0.00

Calculated values
**SG**: F-43m
**Crystal system**: cubic
**Distance to the lowest polymorph of the same formula**: 169.1 meV/atom
**Calculated formation energy**: -0.24 eV/atom


Density functional theory data (PBE) for a geometry-optimized CeSm2Cd structure.

Cell lengths 3.3559, 3.3559, 12.1889 Å; angles 82.09, 82.09, 60.00 degrees
Site moments in Bohr magnetons follow the coordinates.
Positions (direct):
Ce 0.0000 0.0000 0.0000  0.48
Sm 0.0911 0.0911 0.7267  -0.02
Sm 0.9089 0.9089 0.2733  -0.02
Cd 0.5000 0.5000 0.5000  0.00

Calculated values
**SG**: R-3m
**Crystal system**: trigonal
**Distance to the lowest polymorph of the same formula**: 254.9 meV/atom
**Calculated formation energy**: 0.14 eV/atom


Density functional theory data (PBE) for a geometry-optimized CeSm2Cd structure.

Cell lengths 5.4596, 5.4596, 5.4596 Å; angles 60.00, 60.00, 60.00 degrees
Site moments in Bohr magnetons follow the coordinates.
Positions (direct):
Ce 0.0000 0.0000 0.0000  0.84
Sm 0.2500 0.2500 0.2500  0.16
Sm 0.7500 0.7500 0.7500  0.16
Cd 0.5000 0.5000 0.5000  -0.01

Calculated values
**SG**: Fm-3m
**Crystal system**: cubic
**Distance to the lowest polymorph of the same formula**: 166.1 meV/atom
**Calculated formation energy**: 0.05 eV/atom


Density functional theory data (PBE) for a geometry-optimized Ce2SmCd5 structure.

Cell lengths 4.9875, 4.9875, 9.0057 Å; angles 106.08, 106.08, 90.00 degrees
Site moments in Bohr magnetons follow the coordinates.
Positions (direct):
Ce 0.7385 0.7385 0.4771  0.92
Ce 0.2615 0.2615 0.5229  0.92
Sm 0.0000 0.0000 0.0000  -0.02
Cd 0.5000 0.5000 0.0000  -0.01
Cd 0.8831 0.3831 0.7663  0.00
Cd 0.3831 0.8831 0.7663  0.00
Cd 0.1169 0.6169 0.2337  0.00
Cd 0.6169 0.1169 0.2337  0.00

Calculated values
**SG**: I4/mmm
**Crystal system**: tetragonal
**Calculated formation energy**: -0.22 eV/atom


Density functional theory data (PBE) for a geometry-optimized CeSmCd2 structure.

Cell lengths 3.4939, 3.4939, 10.8222 Å; angles 80.71, 80.71, 60.00 degrees
Site moments in Bohr magnetons follow the coordinates.
Positions (direct):
Ce 0.0000 0.0000 0.0000  0.81
Sm 0.5000 0.5000 0.5000  0.01
Cd 0.2491 0.2491 0.2526  0.00
Cd 0.7509 0.7509 0.7474  0.00

Calculated values
**SG**: R-3m
**Crystal system**: trigonal
**Calculated formation energy**: -0.06 eV/atom


Density functional theory data (PBE) for a geometry-optimized CeSm2Cd6 structure.

Cell lengths 3.3855, 8.7850, 8.7850 Å; angles 120.00, 90.00, 90.00 degrees
Site moments in Bohr magnetons follow the coordinates.
Positions (direct):
Ce 0.0000 0.0000 0.0000  0.95
Sm 0.0000 0.3333 0.6667  0.04
Sm 0.0000 0.6667 0.3333  0.04
Cd 0.5000 0.3343 0.3342  0.00
Cd 0.5000 0.6657 0.6657  0.00
Cd 0.5000 0.0000 0.6657  0.00
Cd 0.5000 0.6657 0.0000  0.00
Cd 0.5000 0.3343 0.0000  0.00
Cd 0.5000 0.0000 0.3342  0.00

Calculated values
**SG**: P6/mmm
**Crystal system**: hexagonal
**Calculated formation energy**: -0.31 eV/atom


Density functional theory data (PBE) for a geometry-optimized CeSm2Cd structure.

Cell lengths 3.5571, 3.5571, 11.2655 Å; angles 80.92, 80.92, 60.00 degrees
Site moments in Bohr magnetons follow the coordinates.
Positions (direct):
Ce 0.4997 0.4997 0.5010  0.74
Sm 0.0787 0.0787 0.7638  0.02
Sm 0.2549 0.2549 0.2353  0.02
Cd 0.6667 0.6667 0.9999  0.00

Calculated values
**SG**: R3m
**Crystal system**: trigonal
**Distance to the lowest polymorph of the same formula**: 111.5 meV/atom
**Calculated formation energy**: 0.00 eV/atom


Density functional theory data (PBE) for a geometry-optimized CeSmCd2 structure.

Cell lengths 4.6474, 4.8155, 4.8155 Å; angles 90.00, 90.00, 90.00 degrees
Site moments in Bohr magnetons follow the coordinates.
Positions (direct):
Ce 0.5000 0.5000 0.5000  0.77
Sm 0.5000 0.0000 0.0000  0.11
Cd 0.0000 0.0000 0.5000  0.00
Cd 0.0000 0.5000 0.0000  0.00

Calculated values
**SG**: P4/mmm
**Crystal system**: tetragonal
**Calculated formation energy**: -0.19 eV/atom


Density functional theory data (PBE) for a geometry-optimized CeSm2Cd structure.

Cell lengths 4.7821, 4.9516, 4.9516 Å; angles 90.00, 90.00, 90.00 degrees
Site moments in Bohr magnetons follow the coordinates.
Positions (direct):
Ce 0.5000 0.5000 0.5000  0.78
Sm 0.0000 0.0000 0.5000  0.10
Sm 0.0000 0.5000 0.0000  0.10
Cd 0.5000 0.0000 0.0000  0.00

Calculated values
**SG**: P4/mmm
**Crystal system**: tetragonal
**Distance to the lowest polymorph of the same formula**: 68.9 meV/atom
**Calculated formation energy**: -0.05 eV/atom


Density functional theory data (PBE) for a geometry-optimized CeSmCd2 structure.

Cell lengths 3.3594, 5.7775, 5.7775 Å; angles 107.67, 90.00, 90.00 degrees
Site moments in Bohr magnetons follow the coordinates.
Positions (direct):
Ce 0.5000 0.0000 0.0000  0.81
Sm 0.5000 0.5000 0.5000  -0.02
Cd 0.0000 0.0000 0.5000  0.00
Cd 0.0000 0.5000 0.0000  0.00

Calculated values
**SG**: Cmmm
**Crystal system**: orthorhombic
**Calculated formation energy**: -0.21 eV/atom


Density functional theory data (PBE) for a geometry-optimized CeSmCd2 structure.

Cell lengths 3.7831, 3.7831, 7.8103 Å; angles 90.00, 90.00, 90.00 degrees
Site moments in Bohr magnetons follow the coordinates.
Positions (direct):
Ce 0.5000 0.5000 0.0000  1.02
Sm 0.5000 0.5000 0.5000  0.16
Cd 0.0000 0.0000 0.7429  0.02
Cd 0.0000 0.0000 0.2571  0.02

Calculated values
**SG**: P4/mmm
**Crystal system**: tetragonal
**Calculated formation energy**: -0.21 eV/atom


Density functional theory data (PBE) for a geometry-optimized CeSmCd structure.

Cell lengths 3.5024, 3.5024, 7.5475 Å; angles 103.42, 103.42, 90.00 degrees
Site moments in Bohr magnetons follow the coordinates.
Positions (direct):
Ce 0.0088 0.0088 0.0176  0.81
Sm 0.3229 0.3229 0.6458  0.03
Cd 0.6683 0.6683 0.3366  0.00

Calculated values
**SG**: I4mm
**Crystal system**: tetragonal
**Distance to the lowest polymorph of the same formula**: 41.6 meV/atom
**Calculated formation energy**: -0.09 eV/atom


Density functional theory data (PBE) for a geometry-optimized CeSmCd14 structure.

Cell lengths 6.7088, 6.7088, 8.3995 Å; angles 90.00, 90.00, 90.00 degrees
Site moments in Bohr magnetons follow the coordinates.
Positions (direct):
Ce 0.3750 0.3750 0.5000  0.88
Sm 0.8750 0.8750 0.5000  0.00
Cd 0.8750 0.8750 0.0000  0.00
Cd 0.3750 0.3750 0.0000  0.00
Cd 0.8750 0.3750 0.5000  0.01
Cd 0.8750 0.3750 0.0000  0.00
Cd 0.3750 0.8750 0.5000  0.01
Cd 0.3750 0.8750 0.0000  0.00
Cd 0.6265 0.1235 0.2376  0.00
Cd 0.6265 0.1235 0.7624  0.00
Cd 0.1235 0.6265 0.2376  0.00
Cd 0.1235 0.6265 0.7624  0.00
Cd 0.6265 0.6265 0.2376  0.00
Cd 0.6265 0.6265 0.7624  0.00
Cd 0.1235 0.1235 0.2376  0.00
Cd 0.1235 0.1235 0.7624  0.00

Calculated values
**SG**: P4/mmm
**Crystal system**: tetragonal
**Calculated formation energy**: -0.13 eV/atom


Density functional theory data (PBE) for a geometry-optimized CeSm2Cd structure.

Cell lengths 3.6026, 3.6026, 8.9978 Å; angles 90.00, 90.00, 90.00 degrees
Site moments in Bohr magnetons follow the coordinates.
Positions (direct):
Ce 0.5000 0.5000 0.5000  0.28
Sm 0.0000 0.0000 0.7642  -0.01
Sm 0.0000 0.0000 0.2358  -0.01
Cd 0.5000 0.5000 0.0000  0.00

Calculated values
**SG**: P4/mmm
**Crystal system**: tetragonal
**Distance to the lowest polymorph of the same formula**: 0.0 meV/atom
**Calculated formation energy**: -0.11 eV/atom


Density functional theory data (PBE) for a geometry-optimized CeSmCd structure.

Cell lengths 3.6021, 5.5038, 8.8464 Å; angles 90.00, 101.75, 90.00 degrees
Site moments in Bohr magnetons follow the coordinates.
Positions (direct):
Cd 0.4283 0.2500 0.8567  0.00
Cd 0.5717 0.7500 0.1433  0.00
Sm 0.9130 0.7500 0.8259  0.00
Sm 0.0870 0.2500 0.1741  0.00
Ce 0.7675 0.2500 0.5350  0.68
Ce 0.2325 0.7500 0.4650  0.68

Calculated values
**SG**: Cmcm
**Crystal system**: orthorhombic
**Distance to the lowest polymorph of the same formula**: 0.0 meV/atom
**Calculated formation energy**: -0.13 eV/atom


no.,total magnetization (μB/cell)
1,1.17
2,1.23
3,0.95
4,0.92
5,0.93
6,0.97
7,0.51
8,1.73
9,2.27
10,1.03
11,1.35
12,1.00
13,1.13
14,1.34
15,1.00
16,1.78
17,1.05
18,1.15
19,0.30
20,1.64